[1]
Material: Hf2Zr3Pb
Method: DFT, PBE-GGA
State: relaxed

```
12
Lattice="5.743 0.000 0.000 0.000 13.502 -5.812 0.000 -7.440 6.867" Properties=species:S:1:pos:R:3 pbc="T T T"
Hf 0.005 1.487 0.419
Hf 2.867 1.487 0.419
Hf 5.738 4.576 0.636
Hf 2.876 4.576 0.636
Zr 4.307 7.997 -1.124
Zr 4.307 -0.444 2.382
Zr 1.436 -4.015 4.996
Zr 4.307 10.078 -3.941
Zr 1.436 6.507 -1.327
Zr 1.436 -1.934 2.178
Pb 1.436 1.014 3.171
Pb 4.307 5.049 -2.116
```

Computed properties:
formation energy from the elements: 0.08 eV per atom
volume: 284 Å³ per cell
crystal system: monoclinic

=====

[2]
Material: Rb3SnAu3
Method: DFT, PBE-GGA
State: relaxed

```
14
Lattice="-2.052 -3.531 2.918 0.517 -6.282 -2.920 12.942 -4.260 8.264" Properties=species:S:1:pos:R:3 pbc="T T T"
Rb 7.118 -6.720 5.509
Rb 4.288 -7.352 2.754
Rb 2.499 -3.567 1.759
Rb 8.907 -10.505 6.504
Rb 11.267 -7.089 7.980
Rb 0.140 -6.983 0.284
Sn 3.622 -4.763 5.417
Sn 7.784 -9.309 2.846
Au 5.886 -10.364 4.551
Au 5.520 -3.708 3.712
Au 12.204 -9.813 5.343
Au -0.798 -4.259 2.920
Au 1.611 -9.922 2.079
Au 9.795 -4.150 6.184
```

Computed properties:
formation energy from the elements: -0.29 eV per atom
energy above the lowest structure with this stoichiometry: 0 meV per atom
volume: 511 Å³ per cell
crystal system: monoclinic

=====

[3]
Material: TaHgP
Method: DFT, PBE-GGA
State: relaxed

```
3
Lattice="-1.542 2.912 0.545 -1.076 -2.770 1.524 3.900 1.156 4.854" Properties=species:S:1:pos:R:3 pbc="T T T"
Ta 1.045 1.739 3.897
Hg 3.852 1.142 4.794
P 0.286 -0.426 3.086
```

Computed properties:
formation energy from the elements: 0.12 eV per atom
energy above the lowest structure with this stoichiometry: 160 meV per atom
volume: 61 Å³ per cell
crystal system: trigonal

=====

[4]
Material: Ge2TeS
Method: DFT, PBE-GGA
State: relaxed

```
4
Lattice="-2.333 -3.085 -0.213 0.526 -2.995 2.399 -5.727 1.469 6.217" Properties=species:S:1:pos:R:3 pbc="T T T"
Ge -4.711 0.776 5.129
Ge -2.027 -1.055 2.255
Te -3.631 -2.398 4.057
S -6.658 -2.770 7.383
```

Computed properties:
ΔE_f (raw): -8 kJ/mol of atoms
energy above the lowest structure with this stoichiometry: 41 meV per atom
volume: 108 Å³ per cell
crystal system: trigonal

=====

[5]
Material: AgHgRh2
Method: DFT, PBE-GGA
State: relaxed

```
4
Lattice="0.000 3.232 3.232 3.232 0.000 3.232 3.232 3.232 0.000" Properties=species:S:1:pos:R:3 pbc="T T T"
Ag 3.232 3.232 3.232
Hg 4.848 4.848 4.848
Rh 0.000 0.000 0.000
Rh 1.616 1.616 1.616
```

Computed properties:
formation energy from the elements: 0.31 eV per atom
volume: 68 Å³ per cell
crystal system: cubic